1.
Mg4Zr2N (PBE, optimized geometry); formation energy (no corrections) = 0.1 eV/f.u.; total magnetic moment = 0.206 μB per atom; symmetry = No. 139
1.0
4.0468 0.0000 0.0000
0.0000 4.0468 0.0000
2.0234 2.0234 8.8278
Zr N Mg
2 1 4
Direct
0.2908 0.2908 0.4185 Zr
0.7092 0.7092 0.5815 Zr
0.0000 0.0000 0.0000 N
0.8767 0.8767 0.2466 Mg
0.1233 0.1233 0.7534 Mg
0.5000 0.0000 0.0000 Mg
0.0000 0.5000 0.0000 Mg

---

2.
MgZr3N (PBE, optimized geometry); formation energy (no corrections) = -3.2 eV/f.u.; total magnetic moment = 0.000 μB per atom; symmetry = No. 12
1.0
-14.0173 0.9626 17.6662
-3.8274 -2.6012 6.4414
6.2971 1.8760 -4.4423
Zr N Mg
6 2 2
Direct
0.9453 0.7368 0.2632 Zr
0.5521 0.7619 0.2381 Zr
0.0547 0.2632 0.7368 Zr
0.4479 0.2381 0.7619 Zr
0.1875 0.7446 0.2554 Zr
0.8125 0.2554 0.7446 Zr
0.6890 0.0004 0.9996 N
0.3110 0.9996 0.0004 N
0.6881 0.2461 0.7539 Mg
0.3119 0.7539 0.2461 Mg